(1)
# HfZn2Au

A geometry-optimized HfZn2Au structure (PBE, Alexandria).

## Properties
Space group: P4/mmm, No. 123

Cell lengths 3.1703, 3.1703, 6.8223 Å; angles 90.00, 90.00, 90.00 degrees
Last column: nearest neighbours and their distance in Å.
Atoms (fractional coordinates):
Au  0.5000  0.5000  0.0000  8 Zn 2.74
Zn  0.0000  0.0000  0.2322  4 Au 2.74, 4 Hf 2.89
Zn  0.0000  0.0000  0.7678  4 Au 2.74, 4 Hf 2.89
Hf  0.5000  0.5000  0.5000  8 Zn 2.89, 4 Hf 3.17

(2)
# Lu2SbPb

A geometry-optimized Lu2SbPb structure (PBE, Alexandria).

## Properties
Space group: P4/mmm, No. 123

Cell lengths 3.9432, 3.9432, 6.8481 Å; angles 90.00, 90.00, 90.00 degrees
Last column: nearest neighbours and their distance in Å.
Atoms (fractional coordinates):
Lu  0.0000  0.0000  0.7600  4 Sb 3.24, 2 Lu 3.29-3.56, 4 Pb 3.31
Lu  0.0000  0.0000  0.2400  4 Sb 3.24, 2 Lu 3.29-3.56, 4 Pb 3.31
Pb  0.5000  0.5000  0.5000  8 Lu 3.31, 2 Sb 3.42
Sb  0.5000  0.5000  0.0000  8 Lu 3.24, 2 Pb 3.42

(3)
# MgHg5Pd6

A geometry-optimized MgHg5Pd6 structure (PBE, Alexandria).

## Properties
Space group: Immm, No. 71

Cell lengths 4.3123, 7.8029, 7.8029 Å; angles 111.55, 106.06, 106.06 degrees
Last column: nearest neighbours and their distance in Å.
Atoms (fractional coordinates):
Hg  0.5000  0.5000  0.5000  8 Pd 2.87-2.90, 4 Hg 3.05
Hg  0.5000  0.1629  0.8371  8 Pd 2.82-2.95, 2 Mg 3.01, 2 Hg 3.07
Pd  0.7533  0.5890  0.9175  1 Mg 2.84, 7 Hg 2.86-2.95, 4 Pd 3.02-3.09
Pd  0.2467  0.4110  0.0825  1 Mg 2.84, 7 Hg 2.86-2.95, 4 Pd 3.02-3.09
Pd  0.2467  0.0825  0.4110  1 Mg 2.84, 7 Hg 2.86-2.95, 4 Pd 3.02-3.09
Pd  0.7457  0.2458  0.2458  6 Hg 2.82-2.91, 2 Mg 2.86, 4 Pd 3.02
Hg  0.0000  0.6676  0.3324  8 Pd 2.87-2.91, 4 Hg 3.05-3.07
Mg  0.0000  0.0000  0.0000  8 Pd 2.84-2.86, 4 Hg 3.01
Hg  0.5000  0.8371  0.1629  8 Pd 2.82-2.95, 2 Mg 3.01, 2 Hg 3.07
Pd  0.7533  0.9175  0.5890  1 Mg 2.84, 7 Hg 2.86-2.95, 4 Pd 3.02-3.09
Hg  0.0000  0.3324  0.6676  8 Pd 2.87-2.91, 4 Hg 3.05-3.07
Pd  0.2543  0.7542  0.7542  6 Hg 2.82-2.91, 2 Mg 2.86, 4 Pd 3.02

(4)
# BaYCrSn2

A geometry-optimized BaYCrSn2 structure (PBE, Alexandria).

## Properties
Space group: P4/mmm, No. 123

Cell lengths 5.2080, 5.3011, 5.2080 Å; angles 90.00, 90.00, 90.00 degrees
Last column: nearest neighbours and their distance in Å.
Atoms (fractional coordinates):
Cr  0.0000  0.0000  0.0000  4 Sn 2.60, 2 Ba 2.65
Ba  0.0000  0.5000  0.0000  2 Cr 2.65
Sn  0.5000  0.0000  0.0000  2 Cr 2.60
Sn  0.0000  0.0000  0.5000  2 Cr 2.60
Y  0.5000  0.5000  0.5000  4 Ba 3.68, 8 Sn 3.72

(5)
# GdErO

A geometry-optimized GdErO structure (PBE, Alexandria).

## Properties
Space group: P3m1, No. 156

Cell lengths 3.4940, 3.4940, 5.8544 Å; angles 90.00, 90.00, 120.00 degrees
Last column: nearest neighbours and their distance in Å.
Atoms (fractional coordinates):
O  0.3333  0.6667  0.6771  3 Er 2.40, 3 Gd 2.50
Er  0.6667  0.3333  0.8984  3 O 2.40
Gd  0.0000  0.0000  0.4245  3 O 2.50

(6)
# LiTeS2

A geometry-optimized LiTeS2 structure (PBE, Alexandria).

## Properties
Space group: R-3m, No. 166

Cell lengths 7.5118, 7.5118, 7.5118 Å; angles 33.44, 33.44, 33.44 degrees
Last column: nearest neighbours and their distance in Å.
Atoms (fractional coordinates):
Te  0.5000  0.5000  0.5000  6 S 2.79
S  0.8918  0.8918  0.8918  1 Li 2.30
Li  0.0000  0.0000  0.0000  2 S 2.30
S  0.1082  0.1082  0.1082  1 Li 2.30

Values for mass density, Mg/m³, ordered as above
12.26; 10.59; 13.01; 5.96; 9.14; 2.88
Values for DFT total energy, eV/f.u., ordered as above
-16.624; -18.902; -37.602; -24.299; -29.022; -14.003